No. 1
BaLi2LaPb2: relaxed, PBE.

Cell lengths 5.0527, 5.0527, 8.4236 Å; angles 90.00, 90.00, 120.00 degrees
Space group P-3m1 (No. 164)
Unique sites:
Ba: 0.0000 0.0000 0.0000 x1
Li: 0.3333 0.6667 0.6915 x2
La: 0.0000 0.0000 0.5000 x1
Pb: 0.3333 0.6667 0.2918 x2

As for the crystal system: trigonal.

---

No. 2
BaLi2La2Pb2: relaxed, PBE.

Cell lengths 5.0386, 5.0386, 30.3103 Å; angles 90.00, 90.00, 120.00 degrees
Space group R-3m (No. 166, hexagonal axes)
Unique sites:
Ba: 0.0000 0.0000 0.0000 x3
Li: 0.0000 0.0000 0.4212 x6
La: 0.0000 0.0000 0.1359 x6
Pb: 0.0000 0.0000 0.2538 x6

As for the crystal system: trigonal.

---

no.,ΔE_f (eV/atom)
1,-0.52
2,-0.42